<A>
PBE GaH2Ru, optimized geometry; total magnetic moment = 0.000 μB/f.u.; SG = R3m; calculated volume = 9.423 Å³/atom
1.0
3.079 0.000 0.000
1.540 2.667 0.000
1.540 0.889 4.590
Ru Ga H
1 1 2
Direct
0.681 0.681 0.958
0.493 0.493 0.521
0.035 0.035 0.894
0.291 0.291 0.127


<B>
PBE GaH2Ru, optimized geometry; total magnetic moment = 0.000 μB/f.u.; SG = I-42d; calculated volume = 9.621 Å³/atom
1.0
3.744 0.000 0.000
0.000 3.744 0.000
1.872 1.872 5.491
H Ga Ru
4 2 2
Direct
0.375 0.283 0.750
0.033 0.625 0.250
0.875 0.967 0.750
0.717 0.125 0.250
0.500 0.500 0.000
0.250 0.750 0.500
0.750 0.250 0.500
0.000 0.000 0.000


<C>
PBE GaH2Ru, optimized geometry; total magnetic moment = 0.000 μB/f.u.; SG = Pmmn; calculated volume = 8.951 Å³/atom
1.0
3.075 0.000 0.000
0.000 5.389 0.000
0.000 0.000 4.321
H Ru Ga
4 2 2
Direct
0.500 0.366 0.755
0.500 0.366 0.245
0.000 0.634 0.255
0.000 0.634 0.745
0.000 0.335 0.000
0.500 0.665 0.500
0.500 0.935 0.000
0.000 0.065 0.500


<D>
PBE GaH2Ru, optimized geometry; total magnetic moment = 0.000 μB/f.u.; SG = Fm-3m; calculated volume = 8.849 Å³/atom
1.0
0.296 -2.143 2.984
-0.284 1.477 3.365
-2.968 -0.694 2.072
Ga H Ru
1 2 1
Direct
0.000 0.000 0.000
0.750 0.750 0.750
0.250 0.250 0.250
0.500 0.500 0.500


The structure with the most favorable energy is <C>; the runner-up is 3.8 kJ/mol of atoms above it.


<A>
PBE GaH2Ru2, optimized geometry; total magnetic moment = 0.000 μB/f.u.; SG = P4/mbm; calculated volume = 10.171 Å³/atom
1.0
5.553 0.000 0.000
0.000 5.553 0.000
0.000 0.000 3.298
Ga Ru H
2 4 4
Direct
0.500 0.500 0.000
0.000 0.000 0.000
0.172 0.672 0.500
0.328 0.172 0.500
0.828 0.328 0.500
0.672 0.828 0.500
0.247 0.747 0.000
0.753 0.253 0.000
0.747 0.753 0.000
0.253 0.247 0.000


<B>
PBE GaH2Ru2, optimized geometry; total magnetic moment = 0.000 μB/f.u.; SG = I4/mmm; calculated volume = 9.658 Å³/atom
1.0
3.044 0.000 0.000
0.000 3.044 0.000
1.522 1.522 5.212
Ru H Ga
2 2 1
Direct
0.356 0.356 0.288
0.644 0.644 0.712
0.750 0.250 0.500
0.250 0.750 0.500
0.000 0.000 0.000


The structure with the most favorable energy is <B>; the runner-up is 21.8 kJ/mol of atoms above it.